# 1
PBE Ag3TeS2, relaxed; energy above the lowest structure with this stoichiometry = 21 meV per atom; volume = 267.5 Å³ per cell; final energy = -3.2128 eV per atom; space group = No. 72; uncorrected formation energy = 0.1123 eV per atom
1.0
-2.7834 7.7556 3.0979
2.7834 -7.7556 3.0979
2.7834 7.7556 -3.0979
Ag Te S
6 2 4
direct
0.0182 0.7500 0.2682
0.2500 0.2500 0.0000
0.4818 0.7500 0.7318
0.5182 0.2500 0.2682
0.7500 0.7500 0.0000
0.9818 0.2500 0.7318
0.0000 0.5000 0.5000
0.5000 0.0000 0.5000
0.1441 0.2221 0.3662
0.3559 0.7221 0.0779
0.6441 0.2779 0.9221
0.8559 0.7779 0.6338

---

# 2
PBE Ag8TeS2, relaxed; volume = 211.8 Å³ per cell; final energy = -3.0482 eV per atom; space group = No. 12; uncorrected formation energy = 0.0615 eV per atom
1.0
7.3715 -2.0863 0.0000
7.3715 2.0863 0.0000
-1.7977 0.0000 6.8851
Ag Te S
8 1 2
direct
0.0427 0.0427 0.2064
0.1440 0.1440 0.7237
0.3187 0.3187 0.5935
0.4044 0.4044 0.0305
0.5956 0.5956 0.9695
0.6813 0.6813 0.4065
0.8560 0.8560 0.2763
0.9573 0.9573 0.7936
0.5000 0.5000 0.5000
0.2297 0.2297 0.2018
0.7703 0.7703 0.7982

---

# 3
PBE Ag3TeS, relaxed; energy above the lowest structure with this stoichiometry = 32 meV per atom; volume = 221.8 Å³ per cell; final energy = -3.1237 eV per atom; space group = No. 148; uncorrected formation energy = 0.0409 eV per atom
1.0
3.4229 1.9762 5.4649
-3.4229 1.9762 5.4649
0.0000 -3.9524 5.4649
Ag Te S
6 2 2
direct
0.1038 0.8181 0.2988
0.1819 0.7012 0.8962
0.2988 0.1038 0.8181
0.7012 0.8962 0.1819
0.8181 0.2988 0.1038
0.8962 0.1819 0.7012
0.2314 0.2314 0.2314
0.7686 0.7686 0.7686
0.4360 0.4360 0.4360
0.5640 0.5640 0.5640

---

# 4
PBE Ag5TeS4, relaxed; volume = 216.2 Å³ per cell; final energy = -3.2887 eV per atom; space group = No. 12; uncorrected formation energy = 0.1021 eV per atom
1.0
7.9705 -2.0882 0.0000
7.9705 2.0882 0.0000
-3.3165 0.0000 6.4943
Ag Te S
5 1 4
direct
0.0000 0.0000 0.0000
0.3191 0.3191 0.5636
0.3198 0.3198 0.0679
0.6802 0.6802 0.9321
0.6809 0.6809 0.4364
0.0000 0.0000 0.5000
0.1915 0.1915 0.6914
0.5000 0.5000 0.2289
0.5000 0.5000 0.7711
0.8085 0.8085 0.3086

---

# 5
PBE Ag6TeS2, relaxed; energy above the lowest structure with this stoichiometry = 0 meV per atom; volume = 401.7 Å³ per cell; final energy = -3.1904 eV per atom; space group = No. 15; uncorrected formation energy = -0.0233 eV per atom
1.0
7.5919 -3.5042 0.0000
7.5919 3.5042 0.0000
-5.1851 0.0000 7.5496
Ag Te S
12 2 4
direct
0.0079 0.2641 0.5799
0.1472 0.6752 0.8013
0.2641 0.0079 0.0799
0.3248 0.8528 0.6987
0.3525 0.4348 0.0675
0.4348 0.3525 0.5675
0.5652 0.6475 0.4325
0.6475 0.5652 0.9325
0.6752 0.1472 0.3013
0.7359 0.9921 0.9201
0.8528 0.3248 0.1987
0.9921 0.7359 0.4201
0.0743 0.9257 0.2500
0.9257 0.0743 0.7500
0.2757 0.3615 0.2546
0.3615 0.2757 0.7546
0.6385 0.7243 0.2454
0.7243 0.6385 0.7454

---

# 6
PBE Ag2Te2S, relaxed; energy above the lowest structure with this stoichiometry = 196 meV per atom; volume = 242.5 Å³ per cell; final energy = -3.0141 eV per atom; space group = No. 127; uncorrected formation energy = 0.2086 eV per atom
1.0
7.7042 0.0000 0.0000
0.0000 7.7042 0.0000
0.0000 0.0000 4.0849
Ag Te S
4 4 2
direct
0.1258 0.3742 0.0000
0.3742 0.8742 0.0000
0.6258 0.1258 0.0000
0.8742 0.6258 0.0000
0.1908 0.6908 0.5000
0.3092 0.1908 0.5000
0.6908 0.8092 0.5000
0.8092 0.3092 0.5000
0.0000 0.0000 0.5000
0.5000 0.5000 0.5000

---

Question: Among the records above, which one has the lowest uncorrected formation energy?
Answer: Ag6TeS2

---

Question: The lowest volume belongs to which entry?
Answer: Ag8TeS2

---

Question: What is the formula in the fifth record?
Answer: Ag6TeS2